VASP calculation (PBE) on Ag2O after structural relaxation.

Geometry as POSCAR:
```
Ag2O
1.0
6.535 0.000 0.000
0.000 9.380 0.000
0.000 0.000 3.069
Ag O
8 4
direct
0.500 0.619 0.250
0.250 0.871 0.250
0.750 0.871 0.250
0.000 0.619 0.250
0.000 0.381 0.750
0.250 0.129 0.750
0.750 0.129 0.750
0.500 0.381 0.750
0.000 0.179 0.250
0.500 0.179 0.250
0.500 0.821 0.750
0.000 0.821 0.750
```

energy relative to the lowest polymorph listed for this composition = 0.389 eV/f.u.


VASP calculation (PBE) on Ag2O after structural relaxation.

Geometry as POSCAR:
```
Ag2O
1.0
-3.640 -1.709 -2.147
0.006 0.359 4.545
-1.970 4.653 -0.365
Ag O
4 2
direct
0.000 0.000 0.250
0.667 0.333 0.250
0.000 0.000 0.750
0.333 0.667 0.750
0.333 0.667 0.250
0.667 0.333 0.750
```

energy relative to the lowest polymorph listed for this composition = 1.026 eV/f.u.


VASP calculation (PBE) on Ag2O after structural relaxation.

Geometry as POSCAR:
```
Ag2O
1.0
-0.153 -1.639 -3.701
3.820 1.165 -0.674
3.819 -10.039 4.287
Ag O
8 4
direct
0.387 0.015 0.082
0.887 0.485 0.168
0.515 0.113 0.332
0.985 0.613 0.418
0.613 0.985 0.582
0.113 0.515 0.668
0.485 0.887 0.832
0.015 0.387 0.918
0.529 0.529 0.000
0.029 0.971 0.250
0.471 0.471 0.500
0.971 0.029 0.750
```

energy relative to the lowest polymorph listed for this composition = 0.304 eV/f.u.


VASP calculation (PBE) on Ag2O after structural relaxation.

Geometry as POSCAR:
```
Ag2O
1.0
-2.655 0.122 -1.686
2.011 -2.388 -0.401
-2.391 -2.615 3.577
Ag O
2 1
direct
0.333 0.667 0.290
0.667 0.333 0.710
0.000 0.000 0.000
```

energy relative to the lowest polymorph listed for this composition = 0.203 eV/f.u.


VASP calculation (PBE) on AgO after structural relaxation.

Geometry as POSCAR:
```
AgO
1.0
-2.804 -0.835 1.495
-1.195 1.876 2.418
-2.717 1.780 -0.492
Ag O
1 1
direct
0.000 0.000 0.000
0.500 0.500 0.500
```

final energy = -3.85 eV per atom


VASP calculation (PBE) on Ag2O after structural relaxation.

Geometry as POSCAR:
```
Ag2O
1.0
0.000 2.871 2.871
2.871 0.000 2.871
2.871 2.871 0.000
Ag O
2 1
direct
0.250 0.250 0.250
0.750 0.750 0.750
0.000 0.000 0.000
```

energy relative to the lowest polymorph listed for this composition = 0.644 eV/f.u.


VASP calculation (PBE) on AgO4 after structural relaxation.

Geometry as POSCAR:
```
AgO4
1.0
4.409 -1.487 0.000
4.409 1.487 0.000
-3.367 0.000 4.742
Ag O
1 4
direct
0.500 0.500 0.500
0.432 0.432 0.004
0.823 0.823 0.409
0.178 0.178 0.592
0.568 0.568 0.995
```

final energy = -4.08 eV per atom


VASP calculation (PBE) on Ag2O3 after structural relaxation.

Geometry as POSCAR:
```
Ag2O3
1.0
-0.255 0.725 -3.946
2.657 -2.933 -0.711
-3.007 -2.653 -0.293
Ag O
2 3
direct
0.000 0.000 0.000
0.500 0.500 0.500
0.500 0.500 0.000
0.500 0.000 0.500
0.000 0.500 0.500
```

final energy = -3.49 eV per atom